A plane-wave DFT calculation with PBE was carried out for TiVRuW after structural relaxation.

a = 3.077 Å, b = 3.077 Å, c = 6.231 Å
α = 90.00°, β = 90.00°, γ = 90.00°
Fractional positions:
1 Ti 0.000 0.000 0.000
2 V 0.000 0.000 0.507
3 Ru 0.500 0.500 0.749
4 W 0.500 0.500 0.264

Computed properties:
Total DFT energy (no corrections), eV per formula unit: -40.48
Space group: P4mm (99)
Calculated density, Mg/m³: 10.80